PBE K2S2NO6, relaxed; volume = 17.08 A^3/atom; raw formation energy = -1.33 eV per atom
1.0
3.7685 6.7006 -0.4609
-3.7685 6.7006 -0.4609
0.0000 -0.3250 7.4625
K O S N
4 12 4 2
direct
0.0490 0.6643 0.8199 K
0.3357 0.9510 0.6801 K
0.6643 0.0490 0.3199 K
0.9510 0.3357 0.1801 K
0.2728 0.3928 0.3539 O
0.3928 0.2728 0.8539 O
0.7272 0.6072 0.6461 O
0.2713 0.8310 0.9983 O
0.0316 0.6992 0.1974 O
0.6072 0.7272 0.1461 O
0.8310 0.2713 0.4983 O
0.3008 0.9684 0.3026 O
0.1690 0.7287 0.5017 O
0.6992 0.0316 0.6974 O
0.7287 0.1690 0.0017 O
0.9684 0.3008 0.8026 O
0.6060 0.2044 0.8309 S
0.7956 0.3940 0.6691 S
0.3940 0.7956 0.1691 S
0.2044 0.6060 0.3309 S
0.5922 0.4078 0.7500 N
0.4078 0.5922 0.2500 N

=====

PBE KS2NO, relaxed; volume = 18.34 A^3/atom; excess energy over the best structure of this formula in the dataset = 0.000 eV/f.u.; raw formation energy = 0.98 eV per atom
1.0
-1.5502 -3.2949 1.8276
1.5019 -2.3529 -2.9679
4.6857 -0.6177 2.8609
S N O K
2 1 1 1
direct
0.0000 0.5000 0.0000 S
0.5000 0.0000 0.0000 S
0.0000 0.0000 0.5000 N
0.0000 0.0000 0.0000 O
0.5000 0.5000 0.5000 K

=====

PBE KSNO2, relaxed; volume = 25.41 A^3/atom; raw formation energy = 2.10 eV per atom
1.0
-0.7494 0.5610 -4.8029
4.7943 -0.5474 -0.8120
-0.6834 -5.2367 -0.5050
O K N S
2 1 1 1
direct
0.0000 0.5000 0.0000 O
0.5000 0.0000 0.0000 O
0.0000 0.0000 0.0000 K
0.0000 0.0000 0.5000 N
0.5000 0.5000 0.5000 S

=====

PBE KSNO2, relaxed; volume = 11.18 A^3/atom; raw formation energy = 0.28 eV per atom
1.0
3.9996 0.0000 0.0000
0.0000 3.9996 0.0000
0.0000 0.0000 3.4943
O N K S
2 1 1 1
direct
0.0000 0.5000 0.0000 O
0.5000 0.0000 0.0000 O
0.0000 0.0000 0.5000 N
0.5000 0.5000 0.5000 K
0.0000 0.0000 0.0000 S

=====

PBE KSbNO2, relaxed; volume = 13.81 A^3/atom; raw formation energy = -0.55 eV per atom
1.0
4.0910 0.0000 0.0000
0.0000 4.0910 0.0000
0.0000 0.0000 4.1256
N O K Sb
1 2 1 1
direct
0.0000 0.0000 0.5000 N
0.0000 0.5000 0.0000 O
0.5000 0.0000 0.0000 O
0.5000 0.5000 0.5000 K
0.0000 0.0000 0.0000 Sb

=====

PBE KSbNO2, relaxed; volume = 16.94 A^3/atom; raw formation energy = 1.46 eV per atom
1.0
-0.4211 -3.8636 2.1263
4.1915 0.3134 1.3996
-1.3357 2.0895 3.5323
O Sb N K
2 1 1 1
direct
0.5000 0.0000 0.0000 O
0.0000 0.5000 0.0000 O
0.5000 0.5000 0.5000 Sb
0.0000 0.0000 0.5000 N
0.0000 0.0000 0.0000 K

=====

PBE KScNO2, relaxed; volume = 27.02 A^3/atom; raw formation energy = -0.58 eV per atom
1.0
3.9959 0.0000 0.0000
0.0000 8.4620 0.0000
0.0000 0.0000 3.9959
K Sc N O
1 1 1 2
direct
0.0000 0.5000 0.0000 K
0.0000 0.0000 0.0000 Sc
0.5000 0.5000 0.5000 N
0.5000 0.0000 0.0000 O
0.0000 0.0000 0.5000 O

=====

PBE K2ScNO, relaxed; volume = 30.01 A^3/atom; raw formation energy = 0.27 eV per atom
1.0
6.2243 0.0000 0.0000
0.0000 3.8735 0.0000
0.0000 0.0000 6.2243
Sc O K N
1 1 2 1
direct
0.0000 0.0000 0.0000 Sc
0.5000 0.5000 0.5000 O
0.0000 0.0000 0.5000 K
0.5000 0.0000 0.0000 K
0.0000 0.5000 0.0000 N

=====

PBE KScNO2, relaxed; volume = 15.68 A^3/atom; raw formation energy = -1.11 eV per atom
1.0
-2.5418 -2.9402 -1.5239
3.2706 -1.9276 -1.7363
0.5594 -2.4254 3.7464
O Sc N K
2 1 1 1
direct
0.0000 0.5000 0.0000 O
0.5000 0.0000 0.0000 O
0.0000 0.0000 0.0000 Sc
0.0000 0.0000 0.5000 N
0.5000 0.5000 0.5000 K

=====

PBE KScNO2, relaxed; volume = 15.26 A^3/atom; raw formation energy = 0.81 eV per atom
1.0
-3.6052 -0.6989 -2.2426
-2.2032 -0.4183 3.6723
-0.7802 4.0471 -0.0071
K Sc O N
1 1 2 1
direct
0.0000 0.0000 0.0000 K
0.5000 0.5000 0.5000 Sc
0.0000 0.5000 0.0000 O
0.5000 0.0000 0.0000 O
0.0000 0.0000 0.5000 N

=====

PBE KSeNO2, relaxed; volume = 25.60 A^3/atom; raw formation energy = 1.84 eV per atom
1.0
4.8548 0.0000 0.0000
0.0000 4.8548 0.0000
0.0000 0.0000 5.4318
Se K O N
1 1 2 1
direct
0.5000 0.5000 0.5000 Se
0.0000 0.0000 0.0000 K
0.0000 0.5000 0.0000 O
0.5000 0.0000 0.0000 O
0.0000 0.0000 0.5000 N

=====

PBE KSe2NO, relaxed; volume = 20.93 A^3/atom; excess energy over the best structure of this formula in the dataset = 0.000 eV/f.u.; raw formation energy = 0.76 eV per atom
1.0
-2.0020 1.0611 3.6236
-0.3851 -4.1374 0.9988
5.0357 0.1894 2.7266
O N Se K
1 1 2 1
direct
0.0000 0.0000 0.0000 O
0.0000 0.0000 0.5000 N
0.5000 0.0000 0.0000 Se
0.0000 0.5000 0.0000 Se
0.5000 0.5000 0.5000 K

=====

PBE K7Se4NO16, relaxed; volume = 18.87 A^3/atom; raw formation energy = -1.05 eV per atom
1.0
-3.4699 -5.0031 -1.1397
5.2872 -2.3758 -5.6680
5.4499 -5.4166 7.1858
O K Se N
16 7 4 1
direct
0.5000 0.6965 0.5488 O
0.7271 0.2311 0.1656 O
0.2729 0.2311 0.1656 O
0.7226 0.7362 0.3222 O
0.0000 0.8541 0.0304 O
0.0000 0.3691 0.4909 O
0.2213 0.7475 0.8202 O
0.0000 0.0332 0.5452 O
0.2774 0.7362 0.3222 O
0.5000 0.1366 0.9584 O
0.5000 0.9914 0.4234 O
0.5000 0.4621 0.0328 O
0.7787 0.7475 0.8202 O
0.0000 0.5263 0.9685 O
0.7835 0.2456 0.6992 O
0.2165 0.2456 0.6992 O
0.5000 0.7990 0.0613 K
0.0000 0.4896 0.2381 K
0.0000 0.6966 0.5710 K
0.5000 0.9887 0.7038 K
0.0000 0.1879 0.9381 K
0.5000 0.4839 0.7639 K
0.0000 0.0146 0.2875 K
0.0000 0.2239 0.6052 Se
0.0000 0.7203 0.9102 Se
0.5000 0.7858 0.4045 Se
0.5000 0.2638 0.0832 Se
0.5000 0.3559 0.4203 N

=====

PBE KSeNO2, relaxed; volume = 13.06 A^3/atom; raw formation energy = 0.10 eV per atom
1.0
-1.4960 1.5049 3.4346
-1.7418 -3.5536 0.7984
3.2959 -1.1771 1.9513
O K Se N
2 1 1 1
direct
0.0000 0.5000 0.0000 O
0.5000 0.0000 0.0000 O
0.5000 0.5000 0.5000 K
0.0000 0.0000 0.0000 Se
0.0000 0.0000 0.5000 N

=====

PBE KSe2NO, relaxed; volume = 44.68 A^3/atom; excess energy over the best structure of this formula in the dataset = 5.914 eV/f.u.; raw formation energy = 1.94 eV per atom
1.0
-4.3516 -4.5051 -1.2012
-0.4814 -1.2002 6.2452
-3.9936 3.7475 0.4123
K O Se N
1 1 2 1
direct
0.0000 0.0000 0.0000 K
0.5000 0.5000 0.5000 O
0.5000 0.0000 0.0000 Se
0.0000 0.5000 0.0000 Se
0.0000 0.0000 0.5000 N

=====

PBE KSiN2O, relaxed; volume = 21.74 A^3/atom; raw formation energy = 2.44 eV per atom
1.0
4.8534 0.0000 0.0000
0.0000 4.8534 0.0000
0.0000 0.0000 4.6142
N O Si K
2 1 1 1
direct
0.5000 0.0000 0.0000 N
0.0000 0.5000 0.0000 N
0.0000 0.0000 0.5000 O
0.5000 0.5000 0.5000 Si
0.0000 0.0000 0.0000 K

=====

PBE KSiN2O, relaxed; volume = 10.80 A^3/atom; raw formation energy = -0.07 eV per atom
1.0
3.7916 0.0000 0.0000
0.0000 3.7916 0.0000
0.0000 0.0000 3.7568
N Si K O
2 1 1 1
direct
0.5000 0.0000 0.0000 N
0.0000 0.5000 0.0000 N
0.0000 0.0000 0.0000 Si
0.5000 0.5000 0.5000 K
0.0000 0.0000 0.5000 O

=====

PBE KSiN2O, relaxed; volume = 18.18 A^3/atom; raw formation energy = 1.32 eV per atom
1.0
-3.1772 -0.3166 -4.0956
-2.0669 -2.0003 1.7580
-2.5954 4.1681 1.6912
K Si N O
1 1 2 1
direct
0.5000 0.5000 0.5000 K
0.0000 0.5000 0.0000 Si
0.5000 0.0000 0.0000 N
0.0000 0.0000 0.5000 N
0.0000 0.0000 0.0000 O

=====

PBE KSrN2O, relaxed; volume = 21.45 A^3/atom; raw formation energy = 1.07 eV per atom
1.0
4.8190 0.0000 0.0000
0.0000 4.8190 0.0000
0.0000 0.0000 4.6183
K N Sr O
1 2 1 1
direct
0.0000 0.0000 0.0000 K
0.5000 0.0000 0.0000 N
0.0000 0.5000 0.0000 N
0.5000 0.5000 0.5000 Sr
0.0000 0.0000 0.5000 O

=====

PBE KSrN2O, relaxed; volume = 24.07 A^3/atom; raw formation energy = 0.63 eV per atom
1.0
5.0864 0.0000 0.0000
0.0000 5.0864 0.0000
0.0000 0.0000 4.6511
N K Sr O
2 1 1 1
direct
0.0000 0.5000 0.0000 N
0.5000 0.0000 0.0000 N
0.5000 0.5000 0.5000 K
0.0000 0.0000 0.0000 Sr
0.0000 0.0000 0.5000 O

=====

PBE KTaN2O, relaxed; volume = 14.13 A^3/atom; raw formation energy = -0.75 eV per atom
1.0
-1.0730 3.3211 -2.2687
-3.4273 0.4738 2.3146
2.0614 2.4136 2.5583
Ta N O K
1 2 1 1
direct
0.0000 0.0000 0.0000 Ta
0.5000 0.0000 0.0000 N
0.0000 0.5000 0.0000 N
0.0000 0.0000 0.5000 O
0.5000 0.5000 0.5000 K

=====

PBE KTaN2O, relaxed; volume = 13.15 A^3/atom; raw formation energy = 2.39 eV per atom
1.0
-0.3794 2.6406 -2.9944
-2.7031 -2.3835 -1.7594
-2.9944 1.8873 2.0437
N Ta O K
2 1 1 1
direct
0.0000 0.5000 0.0000 N
0.5000 0.0000 0.0000 N
0.5000 0.5000 0.5000 Ta
0.0000 0.0000 0.5000 O
0.0000 0.0000 0.0000 K

=====

PBE KTcN2O, relaxed; volume = 13.88 A^3/atom; raw formation energy = 3.09 eV per atom
1.0
-3.5632 -0.0546 -1.9885
1.9341 -1.0485 -3.4371
-0.4745 -4.0256 0.9609
K N Tc O
1 2 1 1
direct
0.0000 0.0000 0.0000 K
0.0000 0.5000 0.0000 N
0.5000 0.0000 0.0000 N
0.5000 0.5000 0.5000 Tc
0.0000 0.0000 0.5000 O

=====

PBE KTcN2O, relaxed; volume = 12.42 A^3/atom; raw formation energy = -0.21 eV per atom
1.0
-0.7786 -1.2367 3.6249
3.6739 0.8043 1.0635
-1.1262 3.7655 1.0428
O N Tc K
1 2 1 1
direct
0.0000 0.0000 0.5000 O
0.5000 0.0000 0.0000 N
0.0000 0.5000 0.0000 N
0.0000 0.0000 0.0000 Tc
0.5000 0.5000 0.5000 K

=====

PBE KTeN2O, relaxed; volume = 23.62 A^3/atom; raw formation energy = 2.23 eV per atom
1.0
-1.7277 -4.5153 1.4493
4.5649 -1.1655 1.8103
-1.1801 1.7730 4.1172
N Te O K
2 1 1 1
direct
0.5000 0.0000 0.0000 N
0.0000 0.5000 0.0000 N
0.5000 0.5000 0.5000 Te
0.0000 0.0000 0.5000 O
0.0000 0.0000 0.0000 K

=====

PBE KTeN2O, relaxed; volume = 35.28 A^3/atom; raw formation energy = 2.57 eV per atom
1.0
5.0055 0.0000 0.0000
0.0000 5.0055 0.0000
0.0000 0.0000 7.0403
Te N K O
1 2 1 1
direct
0.0000 0.0000 0.5000 Te
0.5000 0.0000 0.0000 N
0.0000 0.5000 0.0000 N
0.0000 0.0000 0.0000 K
0.5000 0.5000 0.5000 O

=====

PBE KTeN2O, relaxed; volume = 23.67 A^3/atom; raw formation energy = 1.57 eV per atom
1.0
5.4046 0.0000 0.0000
0.0000 5.4046 0.0000
0.0000 0.0000 4.0523
Te O N K
1 1 2 1
direct
0.0000 0.0000 0.5000 Te
0.0000 0.0000 0.0000 O
0.0000 0.5000 0.0000 N
0.5000 0.0000 0.0000 N
0.5000 0.5000 0.5000 K